{
  "formula": "BaHfZn",
  "functional": "PBE-GGA",
  "state": "optimized geometry",
  "lattice_angstrom": [[-1.0165, -3.4037, -9.0732], [-3.7895, -1.8058, 1.1020], [-4.4983, 7.9316, -2.4714]],
  "species": ["Zn", "Zn", "Zn", "Zn", "Hf", "Hf", "Hf", "Hf", "Ba", "Ba", "Ba", "Ba"],
  "frac_coords": [[0.9260, 0.2500, 0.7872], [0.5740, 0.7500, 0.2872], [0.0740, 0.7500, 0.2128], [0.4260, 0.2500, 0.7128], [0.4464, 0.2500, 0.4155], [0.0536, 0.7500, 0.9155], [0.5536, 0.7500, 0.5845], [0.9464, 0.2500, 0.0845], [0.8177, 0.2500, 0.4403], [0.6823, 0.7500, 0.9403], [0.1823, 0.7500, 0.5597], [0.3177, 0.2500, 0.0597]],
  "spacegroup": "No. 62"
}

***

{
  "formula": "BaHf3Zn",
  "functional": "PBE-GGA",
  "state": "optimized geometry",
  "lattice_angstrom": [[-2.4653, -4.1392, -2.1835], [3.4308, -3.2770, 2.3385], [-3.1827, -0.3263, 4.2121]],
  "species": ["Zn", "Hf", "Hf", "Hf", "Ba"],
  "frac_coords": [[0.5000, 0.5000, 0.5000], [0.0000, 0.5000, 0.0000], [0.0000, 0.0000, 0.5000], [0.5000, 0.0000, 0.0000], [0.0000, 0.0000, 0.0000]],
  "spacegroup": "No. 221"
}

***

{
  "formula": "BaHf2Zn",
  "functional": "PBE-GGA",
  "state": "optimized geometry",
  "lattice_angstrom": [[0.0000, 3.5841, 3.5841], [3.5841, 0.0000, 3.5841], [3.5841, 3.5841, 0.0000]],
  "species": ["Zn", "Hf", "Hf", "Ba"],
  "frac_coords": [[0.0000, 0.0000, 0.0000], [0.2500, 0.2500, 0.2500], [0.7500, 0.7500, 0.7500], [0.5000, 0.5000, 0.5000]],
  "spacegroup": "No. 225"
}

***

{
  "formula": "BaHfZn",
  "functional": "PBE-GGA",
  "state": "optimized geometry",
  "lattice_angstrom": [[-3.5011, -0.4902, 0.7551], [3.1745, -10.3581, 8.3217], [0.4935, 1.4845, 3.2591]],
  "species": ["Zn", "Zn", "Hf", "Hf", "Ba", "Ba"],
  "frac_coords": [[0.0611, 0.1983, 0.2849], [0.5543, 0.5346, 0.4419], [0.5590, 0.2975, 0.6838], [0.0563, 0.4353, 0.0431], [0.0513, 0.7181, 0.7561], [0.5641, 0.0147, 0.9702]],
  "spacegroup": "No. 12"
}

***

{
  "formula": "BaHf2Zn",
  "functional": "PBE-GGA",
  "state": "optimized geometry",
  "lattice_angstrom": [[-1.9598, -0.5524, -4.8666], [0.8363, -5.2025, 0.2537], [-9.7165, -4.1622, 1.5260]],
  "species": ["Zn", "Zn", "Hf", "Hf", "Hf", "Hf", "Ba", "Ba"],
  "frac_coords": [[0.5000, 0.5000, 0.0000], [0.2500, 0.7500, 0.5000], [0.3550, 0.1250, 0.2500], [0.3950, 0.6250, 0.2500], [0.3750, 0.6450, 0.7500], [0.8750, 0.6050, 0.7500], [0.0000, 0.0000, 0.0000], [0.7500, 0.2500, 0.5000]],
  "spacegroup": "No. 122"
}

***

{
  "formula": "Ba3HfZn",
  "functional": "PBE-GGA",
  "state": "optimized geometry",
  "lattice_angstrom": [[-1.4411, -1.8771, 5.8047], [-3.3897, -4.7127, -2.3655], [5.0723, -3.6827, 0.0684]],
  "species": ["Zn", "Hf", "Ba", "Ba", "Ba"],
  "frac_coords": [[0.0000, 0.0000, 0.0000], [0.5000, 0.5000, 0.5000], [0.0000, 0.5000, 0.0000], [0.0000, 0.0000, 0.5000], [0.5000, 0.0000, 0.0000]],
  "spacegroup": "No. 221"
}

***

| no. | formation enthalpy at 0 K (eV per atom) | offset from the most stable computed form (meV/atom) |
| --- | --- | --- |
| 1 | 0.3688 | 366 |
| 2 | 2.1391 | 1349 |
| 3 | 0.7689 | 0 |
| 4 | 0.0033 | 0 |
| 5 | 0.8932 | 124 |
| 6 | 0.7637 | 0 |